The following is a DFT calculation (PBE) of Li3MgBe after structural relaxation.

abc: 4.5411 4.5411 4.5411
angles: 90.00 90.00 90.00
Last column: nearest neighbours and their distance in Å.
Sites, in units of the cell vectors:
Be 0.0000 0.0000 0.0000  6 Li 2.27
Mg 0.5000 0.5000 0.5000  12 Li 3.21
Li 0.0000 0.5000 0.0000  2 Be 2.27
Li 0.0000 0.0000 0.5000  2 Be 2.27
Li 0.5000 0.0000 0.0000  2 Be 2.27

ρ: 0.96 g cm⁻³
DOS at the Fermi energy: 2.32 states/eV/cell
Symmetry: Pm-3m (221)
Calculated formation energy: 0.40 eV/atom
Crystal system: cubic
V: 18.7 Å³ per atom
Magnetic moment: 0.00 Bohr magnetons per cell



The following is a DFT calculation (PBE) of Pr8Pt2Rh after structural relaxation.

abc: 5.1119 7.0927 9.3527
angles: 97.72 105.86 90.00
Last column: nearest neighbours and their distance in Å.
Sites, in units of the cell vectors:
Pr 0.4117 0.5561 0.8234  1 Rh 3.32, 5 Pr 3.38-3.57
Pr 0.6629 0.9676 0.3258  3 Pt 2.97-3.14, 1 Rh 2.97
Pr 0.7961 0.6644 0.5922  3 Pt 2.90-3.17
Pr 0.9678 0.2210 0.9356  1 Pt 3.08, 2 Rh 3.09
Pr 0.2039 0.3356 0.4078  3 Pt 2.90-3.17
Pr 0.3371 0.0324 0.6742  3 Pt 2.97-3.14, 1 Rh 2.97
Pr 0.5883 0.4439 0.1766  1 Rh 3.32, 5 Pr 3.38-3.57
Pr 0.0322 0.7790 0.0644  1 Pt 3.08, 2 Rh 3.09
Pt 0.7993 0.2570 0.5986  7 Pr 2.90-3.17
Pt 0.2007 0.7430 0.4014  7 Pr 2.90-3.17
Rh 0.5000 0.0000 0.0000  8 Pr 2.97-3.32

ρ: 8.33 g cm⁻³
DOS at the Fermi energy: 11.78 states/eV/cell
Symmetry: C2/m (12)
Calculated formation energy: -0.52 eV/atom
Crystal system: monoclinic
V: 29.4 Å³ per atom
Magnetic moment: 0.00 Bohr magnetons per cell